#w
Tb2ErSc7, optimized geometry, DFT GGA-PBE; total magnetization = 0.000 μB per cell
1.0
3.407 -0.547 -0.379
-0.671 9.065 -3.231
-0.671 0.167 9.622
Tb Er Sc
2 1 7
Cartesian
1.033 7.160 -1.065
1.032 1.524 7.076
0.000 0.000 0.000
-0.671 6.010 1.182
-0.671 3.222 5.209
0.530 0.833 3.561
1.535 7.851 2.451
0.530 3.626 -0.474
1.535 5.058 6.486
1.033 4.342 3.006

***

#x
Tb2ErSc7, optimized geometry, DFT GGA-PBE; total magnetization = 0.000 μB per cell
1.0
-3.100 -0.473 1.085
4.943 -5.972 11.522
-4.343 10.663 -7.765
Tb Er Sc
2 1 7
Cartesian
0.704 -1.392 6.480
-3.205 5.610 -1.638
0.000 0.000 0.000
3.257 -2.952 8.021
-2.658 7.643 -4.263
-2.312 2.550 -0.422
-0.188 1.668 5.264
-0.492 -0.711 3.359
-2.008 4.929 1.483
-1.250 2.109 2.421

***

It comes down to #x, which is 221 meV per atom more stable than the next structure.